# GdBiPb2 (PBE-GGA, relaxed)
data_GdBiPb2
_symmetry_space_group_name_H-M 'P 1'
_symmetry_Int_Tables_number 1
_symmetry_space_group_name_Hall 'P 1'
_cell_length_a 5.0888
_cell_length_b 4.8383
_cell_length_c 4.8383
_cell_angle_alpha 90.00
_cell_angle_beta 90.00
_cell_angle_gamma 90.00
loop_
_atom_site_label
_atom_site_fract_x
_atom_site_fract_y
_atom_site_fract_z
_atom_site_occupancy
Pb1 0.0000 0.0000 0.5000 1
Pb2 0.0000 0.5000 0.0000 1
Gd1 0.5000 0.5000 0.5000 1
Bi1 0.5000 0.0000 0.0000 1
# E_tot   -26.83 eV per formula unit
# Density   10882 kg/m³
# Relative energy among the computed polymorphs   0 meV per atom

# TePPtN2 (PBE-GGA, relaxed)
data_TePPtN2
_symmetry_space_group_name_H-M 'P 1'
_symmetry_Int_Tables_number 1
_symmetry_space_group_name_Hall 'P 1'
_cell_length_a 3.5558
_cell_length_b 3.5558
_cell_length_c 7.2058
_cell_angle_alpha 90.00
_cell_angle_beta 90.00
_cell_angle_gamma 90.00
loop_
_atom_site_label
_atom_site_fract_x
_atom_site_fract_y
_atom_site_fract_z
_atom_site_occupancy
P1 0.0000 0.0000 0.0000 1
Te1 0.0000 0.0000 0.5000 1
Pt1 0.5000 0.5000 0.5000 1
N1 0.0000 0.5000 0.0000 1
N2 0.5000 0.0000 0.0000 1
# Formation energy (no corrections)   5.1 eV per formula unit
# E_tot   -26.10 eV per formula unit
# Density   6956 kg/m³
# Relative energy among the computed polymorphs   0 meV per atom

# CeY2Sc (PBE-GGA, relaxed)
data_CeY2Sc
_symmetry_space_group_name_H-M 'P 1'
_symmetry_Int_Tables_number 1
_symmetry_space_group_name_Hall 'P 1'
_cell_length_a 3.4587
_cell_length_b 3.4587
_cell_length_c 9.9735
_cell_angle_alpha 90.00
_cell_angle_beta 90.00
_cell_angle_gamma 90.00
loop_
_atom_site_label
_atom_site_fract_x
_atom_site_fract_y
_atom_site_fract_z
_atom_site_occupancy
Y1 0.0000 0.0000 0.7586 1
Y2 0.0000 0.0000 0.2414 1
Sc1 0.5000 0.5000 0.0000 1
Ce1 0.5000 0.5000 0.5000 1
# E_tot   -24.83 eV per formula unit
# Density   5051 kg/m³
# Relative energy among the computed polymorphs   27 meV per atom

# MgGeHAu2 (PBE-GGA, relaxed)
data_MgGeHAu2
_symmetry_space_group_name_H-M 'P 1'
_symmetry_Int_Tables_number 1
_symmetry_space_group_name_Hall 'P 1'
_cell_length_a 5.2260
_cell_length_b 3.3032
_cell_length_c 5.2260
_cell_angle_alpha 90.00
_cell_angle_beta 90.00
_cell_angle_gamma 90.00
loop_
_atom_site_label
_atom_site_fract_x
_atom_site_fract_y
_atom_site_fract_z
_atom_site_occupancy
H1 0.0000 0.5000 0.0000 1
Ge1 0.5000 0.5000 0.5000 1
Au1 0.0000 0.0000 0.5000 1
Au2 0.5000 0.0000 0.0000 1
Mg1 0.0000 0.0000 0.0000 1
# E_tot   -14.94 eV per formula unit
# Density   9054 kg/m³

# La11Ho4Er9 (PBE-GGA, relaxed)
data_La11Ho4Er9
_symmetry_space_group_name_H-M 'P 1'
_symmetry_Int_Tables_number 1
_symmetry_space_group_name_Hall 'P 1'
_cell_length_a 3.6928
_cell_length_b 15.5237
_cell_length_c 15.5237
_cell_angle_alpha 113.11
_cell_angle_beta 90.00
_cell_angle_gamma 90.00
loop_
_atom_site_label
_atom_site_fract_x
_atom_site_fract_y
_atom_site_fract_z
_atom_site_occupancy
La1 0.0000 0.5958 0.9577 1
La2 0.0000 0.4042 0.0423 1
La3 0.0000 0.9577 0.5958 1
La4 0.0000 0.0423 0.4042 1
La5 0.0000 0.6316 0.3684 1
La6 0.0000 0.3684 0.6316 1
La7 0.0000 0.8402 0.1598 1
La8 0.0000 0.1598 0.8402 1
La9 0.0000 0.0000 0.0000 1
La10 0.0000 0.7072 0.7072 1
La11 0.0000 0.2928 0.2928 1
Ho1 0.5000 0.5555 0.7592 1
Ho2 0.5000 0.4445 0.2408 1
Ho3 0.5000 0.7592 0.5555 1
Ho4 0.5000 0.2408 0.4445 1
Er1 0.5000 0.6311 0.1668 1
Er2 0.5000 0.3689 0.8332 1
Er3 0.5000 0.1668 0.6311 1
Er4 0.5000 0.8332 0.3689 1
Er5 0.5000 0.7862 0.9309 1
Er6 0.5000 0.2138 0.0691 1
Er7 0.5000 0.9309 0.7862 1
Er8 0.5000 0.0691 0.2138 1
Er9 0.5000 0.5000 0.5000 1
# E_tot   -111.90 eV per formula unit
# Density   7492 kg/m³

# CuPt (PBE-GGA, relaxed)
data_CuPt
_symmetry_space_group_name_H-M 'P 1'
_symmetry_Int_Tables_number 1
_symmetry_space_group_name_Hall 'P 1'
_cell_length_a 8.7705
_cell_length_b 8.7705
_cell_length_c 8.7705
_cell_angle_alpha 17.99
_cell_angle_beta 17.99
_cell_angle_gamma 17.99
loop_
_atom_site_label
_atom_site_fract_x
_atom_site_fract_y
_atom_site_fract_z
_atom_site_occupancy
Cu1 0.9964 0.9964 0.9964 1
Cu2 0.2536 0.2536 0.2536 1
Pt1 0.5049 0.5049 0.5049 1
Pt2 0.7451 0.7451 0.7451 1
# E_tot   -10.34 eV per formula unit
# Density   15283 kg/m³